The following is a PBE calculation of a geometry-optimized AcTbPrEu structure, from Alexandria via LeMat-Bulk.

Cell lengths 8.5011, 8.5011, 8.5011 Å; angles 90.00, 90.00, 90.00 degrees
Closest atoms and distances in Å follow each position.
Space group F-43m (No. 216)
Symmetry-distinct sites (fractional):
Ac1 0.0000 0.0000 0.0000 [4 per cell]  4 Pr 3.68, 4 Tb 3.68
Tb1 0.2500 0.2500 0.7500 [4 per cell]  4 Ac 3.68, 4 Eu 3.68
Pr1 0.2500 0.2500 0.2500 [4 per cell]  4 Eu 3.68, 4 Ac 3.68
Eu1 0.0000 0.0000 0.5000 [4 per cell]  4 Tb 3.68, 4 Pr 3.68

Properties
**Magnetic moment**: 7.97 μB per formula unit
**Final energy**: -5.80 eV per atom
**Formation enthalpy at 0 K**: 0.149 eV per atom

The following is a PBE calculation of a geometry-optimized AcPrEuTh structure, from Alexandria via LeMat-Bulk.

Cell lengths 8.4902, 8.4902, 8.4902 Å; angles 90.00, 90.00, 90.00 degrees
Closest atoms and distances in Å follow each position.
Space group F-43m (No. 216)
Symmetry-distinct sites (fractional):
Ac1 0.0000 0.0000 0.0000 [4 per cell]  4 Th 3.68, 4 Eu 3.68
Pr1 0.0000 0.0000 0.5000 [4 per cell]  4 Eu 3.68, 4 Th 3.68
Eu1 0.2500 0.2500 0.2500 [4 per cell]  4 Ac 3.68, 4 Pr 3.68
Th1 0.2500 0.2500 0.7500 [4 per cell]  4 Ac 3.68, 4 Pr 3.68

Properties
**Magnetic moment**: 6.44 μB per formula unit
**Final energy**: -6.40 eV per atom
**Formation enthalpy at 0 K**: 0.247 eV per atom

The following is a PBE calculation of a geometry-optimized AcPrEuTl structure, from Alexandria via LeMat-Bulk.

Cell lengths 8.2330, 8.2330, 8.2330 Å; angles 90.00, 90.00, 90.00 degrees
Closest atoms and distances in Å follow each position.
Space group F-43m (No. 216)
Symmetry-distinct sites (fractional):
Ac1 0.0000 0.0000 0.0000 [4 per cell]  4 Eu 3.56, 4 Pr 3.56
Pr1 0.2500 0.2500 0.7500 [4 per cell]  4 Ac 3.56, 4 Tl 3.56
Eu1 0.2500 0.2500 0.2500 [4 per cell]  4 Ac 3.56, 4 Tl 3.56
Tl1 0.0000 0.0000 0.5000 [4 per cell]  4 Pr 3.56, 4 Eu 3.56

Properties
**Magnetic moment**: 8.21 μB per formula unit
**Final energy**: -5.39 eV per atom
**Formation enthalpy at 0 K**: -0.009 eV per atom

The following is a PBE calculation of a geometry-optimized AcPrEuTm structure, from Alexandria via LeMat-Bulk.

Cell lengths 8.4545, 8.4545, 8.4545 Å; angles 90.00, 90.00, 90.00 degrees
Closest atoms and distances in Å follow each position.
Space group F-43m (No. 216)
Symmetry-distinct sites (fractional):
Ac1 0.0000 0.0000 0.0000 [4 per cell]  4 Tm 3.66, 4 Eu 3.66
Pr1 0.0000 0.0000 0.5000 [4 per cell]  4 Eu 3.66, 4 Tm 3.66
Eu1 0.2500 0.2500 0.2500 [4 per cell]  4 Ac 3.66, 4 Pr 3.66
Tm1 0.2500 0.2500 0.7500 [4 per cell]  4 Pr 3.66, 4 Ac 3.66

Properties
**Magnetic moment**: 7.52 μB per formula unit
**Final energy**: -5.79 eV per atom
**Formation enthalpy at 0 K**: 0.115 eV per atom

The following is a PBE calculation of a geometry-optimized AcPrEuY structure, from Alexandria via LeMat-Bulk.

Cell lengths 8.5107, 8.5107, 8.5107 Å; angles 90.00, 90.00, 90.00 degrees
Closest atoms and distances in Å follow each position.
Space group F-43m (No. 216)
Symmetry-distinct sites (fractional):
Ac1 0.0000 0.0000 0.0000 [4 per cell]  4 Y 3.69, 4 Pr 3.69
Pr1 0.2500 0.2500 0.7500 [4 per cell]  4 Ac 3.69, 4 Eu 3.69
Eu1 0.0000 0.0000 0.5000 [4 per cell]  4 Pr 3.69, 4 Y 3.69
Y1 0.2500 0.2500 0.2500 [4 per cell]  4 Ac 3.69, 4 Eu 3.69

Properties
**Magnetic moment**: 7.79 μB per formula unit
**Final energy**: -6.27 eV per atom
**Formation enthalpy at 0 K**: 0.141 eV per atom

The following is a PBE calculation of a geometry-optimized AcPrEuZn structure, from Alexandria via LeMat-Bulk.

Cell lengths 8.1015, 8.1015, 8.1015 Å; angles 90.00, 90.00, 90.00 degrees
Closest atoms and distances in Å follow each position.
Space group F-43m (No. 216)
Symmetry-distinct sites (fractional):
Ac1 0.0000 0.0000 0.0000 [4 per cell]  4 Eu 3.51, 4 Pr 3.51
Pr1 0.2500 0.2500 0.2500 [4 per cell]  4 Ac 3.51, 4 Zn 3.51
Eu1 0.2500 0.2500 0.7500 [4 per cell]  4 Ac 3.51, 4 Zn 3.51
Zn1 0.0000 0.0000 0.5000 [4 per cell]  4 Pr 3.51, 4 Eu 3.51

Properties
**Magnetic moment**: 7.79 μB per formula unit
**Final energy**: -4.95 eV per atom
**Formation enthalpy at 0 K**: 0.162 eV per atom